A geometry-optimized Ca2ScCd structure, computed with GGA-PBE.

```
Ca2ScCd
1.0
3.524 -4.679 0.000
3.524 4.679 0.000
0.000 0.000 3.659
Ca Sc Cd
2 1 1
Direct
0.000 0.500 0.000
0.500 0.000 0.000
0.000 0.000 0.500
0.500 0.500 0.500
```

Results
E = -2.788 eV per atom
Space-group type = Cmmm, No. 65
Energy of formation from the pure elements = 0.0247 eV/atom

A geometry-optimized TaCuRu2 structure, computed with GGA-PBE.

```
TaCuRu2
1.0
-1.921 1.921 8.702
1.921 -1.921 8.702
1.921 1.921 -8.702
Ta Cu Ru
2 2 4
Direct
0.000 0.000 0.000
0.750 0.250 0.500
0.250 0.750 0.500
0.500 0.500 0.000
0.178 0.625 0.053
0.375 0.428 0.553
0.572 0.125 0.947
0.875 0.822 0.447
```

Results
E = -8.174 eV per atom
Space-group type = I-42d, No. 122
Energy of formation from the pure elements = 0.4508 eV/atom

A geometry-optimized SmHo2Nb structure, computed with GGA-PBE.

```
SmHo2Nb
1.0
1.650 0.953 11.671
-1.650 0.953 11.671
0.000 -1.906 11.671
Sm Ho Nb
1 2 1
Direct
0.000 0.000 0.000
0.417 0.417 0.417
0.583 0.583 0.583
0.500 0.500 0.500
```

Results
E = -5.446 eV per atom
Space-group type = R-3m, No. 166
Energy of formation from the pure elements = 0.5399 eV/atom